1.
Compound: CuAgTe3
Source: Alexandria
Functional: PBE-GGA
Structure: optimized geometry

```
data_CuAgTe3
_chemical_formula_sum 'Cu8 Ag8 Te24'
_symmetry_space_group_name_H-M 'C 1 2/c 1'
_symmetry_Int_Tables_number 15
_cell_length_a 12.340
_cell_length_b 11.820
_cell_length_c 7.782
_cell_angle_alpha 90.00
_cell_angle_beta 91.08
_cell_angle_gamma 90.00
loop_
_symmetry_equiv_pos_as_xyz
'x,y,z'
'-x,-y,-z'
'-x,y,-z+1/2'
'x,-y,z+1/2'
'x+1/2,y+1/2,z'
'-x+1/2,-y+1/2,-z'
'-x+1/2,y+1/2,-z+1/2'
'x+1/2,-y+1/2,z+1/2'
loop_
_atom_site_label
_atom_site_type_symbol
_atom_site_fract_x
_atom_site_fract_y
_atom_site_fract_z
Cu1 Cu 0.247 0.083 0.085
Ag1 Ag 0.000 0.218 0.750
Ag2 Ag 0.000 0.425 0.250
Te1 Te 0.114 0.271 0.050
Te2 Te 0.122 0.004 0.822
Te3 Te 0.144 0.419 0.612
```

Calculated values
Its distance to the lowest polymorph of the same formula is 35.4 meV/atom. The formation energy without anion corrections is 0.07 eV/atom. Its volume is 28.37 Å³/atom.

2.
Compound: AcNd6Ho2Er
Source: Alexandria
Functional: PBE-GGA
Structure: optimized geometry

```
data_AcNd6Ho2Er
_chemical_formula_sum 'Ac4 Nd24 Ho8 Er4'
_symmetry_space_group_name_H-M 'C 1 2/c 1'
_symmetry_Int_Tables_number 15
_cell_length_a 9.421
_cell_length_b 15.485
_cell_length_c 9.725
_cell_angle_alpha 90.00
_cell_angle_beta 95.65
_cell_angle_gamma 90.00
loop_
_symmetry_equiv_pos_as_xyz
'x,y,z'
'-x,-y,-z'
'-x,y,-z+1/2'
'x,-y,z+1/2'
'x+1/2,y+1/2,z'
'-x+1/2,-y+1/2,-z'
'-x+1/2,y+1/2,-z+1/2'
'x+1/2,-y+1/2,z+1/2'
loop_
_atom_site_label
_atom_site_type_symbol
_atom_site_fract_x
_atom_site_fract_y
_atom_site_fract_z
Ac1 Ac 0.000 0.028 0.250
Nd1 Nd 0.060 0.184 0.946
Nd2 Nd 0.100 0.390 0.117
Nd3 Nd 0.220 0.226 0.315
Ho1 Ho 0.240 0.446 0.452
Er1 Er 0.000 0.413 0.750
```

Calculated values
As for the formation energy: 0.120 eV per atom. Its volume is 35.30 Å³/atom.